Below is a geometry-optimized Li2MnFe3O8 structure, with properties calculated at the PBE with a Hubbard U level.

```
Li2MnFe3O8
1.0
-5.193 -0.031 6.320
-5.112 -4.788 -4.224
3.715 -6.632 3.021
O Fe Mn Li
32 12 4 8
Direct
0.887 0.389 0.388
0.639 0.637 0.362
0.138 0.361 0.137
0.863 0.638 0.139
0.888 0.613 0.611
0.139 0.863 0.638
0.112 0.388 0.612
0.861 0.363 0.862
0.387 0.111 0.612
0.612 0.112 0.388
0.362 0.362 0.362
0.638 0.139 0.863
0.889 0.112 0.113
0.862 0.861 0.363
0.613 0.611 0.888
0.137 0.138 0.361
0.888 0.888 0.888
0.862 0.138 0.638
0.113 0.889 0.112
0.612 0.387 0.111
0.363 0.862 0.861
0.637 0.362 0.639
0.388 0.887 0.389
0.638 0.862 0.138
0.361 0.137 0.138
0.388 0.612 0.112
0.611 0.888 0.613
0.362 0.639 0.637
0.138 0.638 0.862
0.111 0.612 0.387
0.389 0.388 0.887
0.112 0.113 0.889
0.875 0.125 0.875
0.625 0.875 0.375
0.375 0.625 0.875
0.625 0.125 0.625
0.375 0.375 0.125
0.875 0.375 0.625
0.125 0.875 0.875
0.875 0.875 0.125
0.625 0.625 0.125
0.125 0.625 0.625
0.125 0.375 0.375
0.375 0.125 0.375
0.875 0.625 0.375
0.625 0.375 0.875
0.375 0.875 0.625
0.125 0.125 0.125
0.751 0.751 0.751
0.249 0.251 0.749
0.999 0.001 0.501
0.749 0.249 0.251
0.251 0.749 0.249
0.001 0.501 0.999
0.499 0.499 0.499
0.501 0.999 0.001
```

Properties
The calculated total energy is -0.4492 Ry per atom. Its crystal system is cubic. The value obtained for the density of states at the Fermi level is 0.337 states/eV/atom. The energy above the most stable polymorph in this dataset is 239 meV per atom.